(1)
A relaxed structure of KRbTl2Ag, computed with GGA-PBE.

## Properties
- Fermi-level density of states: 3.0 states/eV/cell
- Formation energy from the elements: 0.0647 eV per atom
- Energy: -1.865 eV per atom
- Total magnetization: 0.0 μB/cell

```
data_KRbTl2Ag
_symmetry_space_group_name_H-M 'P 4/m m m'
_symmetry_Int_Tables_number 123
_symmetry_space_group_name_Hall '-P 4 2'
_cell_length_a 5.7309
_cell_length_b 5.7309
_cell_length_c 6.2384
_cell_angle_alpha 90.00
_cell_angle_beta 90.00
_cell_angle_gamma 90.00
loop_
_atom_site_label
_atom_site_type_symbol
_atom_site_fract_x
_atom_site_fract_y
_atom_site_fract_z
_atom_site_occupancy
K1 K 0.0000 0.0000 0.0000 1
Rb1 Rb 0.5000 0.5000 0.0000 1
Tl1 Tl 0.0000 0.5000 0.5000 1
Ag1 Ag 0.0000 0.0000 0.5000 1
```

=====

(2)
A relaxed structure of RbGaPb3, computed with GGA-PBE.

## Properties
- Fermi-level density of states: 3.5 states/eV/cell
- Formation energy from the elements: 1.1088 eV per atom
- Energy: -1.915 eV per atom
- Total magnetization: 0.0 μB/cell

```
data_RbGaPb3
_symmetry_space_group_name_H-M 'P m -3 m'
_symmetry_Int_Tables_number 221
_symmetry_space_group_name_Hall '-P 4 2 3'
_cell_length_a 6.1945
_cell_length_b 6.1945
_cell_length_c 6.1945
_cell_angle_alpha 90.00
_cell_angle_beta 90.00
_cell_angle_gamma 90.00
loop_
_atom_site_label
_atom_site_type_symbol
_atom_site_fract_x
_atom_site_fract_y
_atom_site_fract_z
_atom_site_occupancy
Rb1 Rb 0.0000 0.0000 0.0000 1
Ga1 Ga 0.5000 0.5000 0.5000 1
Pb1 Pb 0.0000 0.0000 0.5000 1
```

=====

(3)
A relaxed structure of Ho6P5, computed with GGA-PBE.

## Properties
- Fermi-level density of states: 10.4 states/eV/cell
- Formation energy from the elements: -1.4707 eV per atom
- Energy: -6.427 eV per atom
- Total magnetization: 0.0 μB/cell

```
data_Ho6P5
_symmetry_space_group_name_H-M 'C 1 2/m 1'
_symmetry_Int_Tables_number 12
_symmetry_space_group_name_Hall '-C 2y'
_cell_length_a 6.8607
_cell_length_b 11.8648
_cell_length_c 6.8679
_cell_angle_alpha 90.00
_cell_angle_beta 109.45
_cell_angle_gamma 90.00
loop_
_atom_site_label
_atom_site_type_symbol
_atom_site_fract_x
_atom_site_fract_y
_atom_site_fract_z
_atom_site_occupancy
Ho1 Ho 0.2443 0.0000 0.2556 1
Ho2 Ho 0.2453 0.1702 0.7477 1
P1 P 0.0000 0.0000 0.5000 1
P2 P 0.0000 0.1666 0.0000 1
P3 P 0.0000 0.3336 0.5000 1
```

=====

(4)
A relaxed structure of Cs3Tl2Cl7, computed with GGA-PBE.

## Properties
- Fermi-level density of states: 4.2 states/eV/cell
- Energy: -3.072 eV per atom
- Formation energy (no corrections): -1.39 eV per atom
- Total magnetization: 0.0 μB/cell

```
data_Cs3Tl2Cl7
_symmetry_space_group_name_H-M 'C m m m'
_symmetry_Int_Tables_number 65
_symmetry_space_group_name_Hall '-C 2 2'
_cell_length_a 5.7074
_cell_length_b 27.8662
_cell_length_c 5.4635
_cell_angle_alpha 90.00
_cell_angle_beta 90.00
_cell_angle_gamma 90.00
loop_
_atom_site_label
_atom_site_type_symbol
_atom_site_fract_x
_atom_site_fract_y
_atom_site_fract_z
_atom_site_occupancy
Cs1 Cs 0.0000 0.0000 0.0000 1
Cs2 Cs 0.0000 0.1847 0.0000 1
Tl1 Tl 0.0000 0.3977 0.5000 1
Cl1 Cl 0.0000 0.0990 0.5000 1
Cl2 Cl 0.0000 0.2982 0.5000 1
Cl3 Cl 0.0000 0.4000 0.0000 1
Cl4 Cl 0.0000 0.5000 0.5000 1
```

=====

(5)
A relaxed structure of Li2MnTc, computed with GGA-PBE.

## Properties
- Fermi-level density of states: 5.5 states/eV/cell
- Formation energy from the elements: 0.2935 eV per atom
- Energy: -5.547 eV per atom
- Total magnetization: 1.8 μB/cell

```
data_Li2MnTc
_symmetry_space_group_name_H-M 'C 1 m 1'
_symmetry_Int_Tables_number 8
_symmetry_space_group_name_Hall 'C -2y'
_cell_length_a 8.4369
_cell_length_b 2.4570
_cell_length_c 5.2141
_cell_angle_alpha 90.00
_cell_angle_beta 91.74
_cell_angle_gamma 90.00
loop_
_atom_site_label
_atom_site_type_symbol
_atom_site_fract_x
_atom_site_fract_y
_atom_site_fract_z
_atom_site_occupancy
Li1 Li 0.0000 0.0000 0.0000 1
Li2 Li 0.2481 0.0000 0.7778 1
Mn1 Mn 0.0039 0.5000 0.4791 1
Tc1 Tc 0.2474 0.5000 0.3020 1
```

=====

(6)
A relaxed structure of KYPt4, computed with GGA-PBE.

## Properties
- Fermi-level density of states: 21.9 states/eV/cell
- Formation energy from the elements: -0.6555 eV per atom
- Energy: -5.943 eV per atom
- Total magnetization: 0.0 μB/cell

```
data_KYPt4
_symmetry_space_group_name_H-M 'F -4 3 m'
_symmetry_Int_Tables_number 216
_symmetry_space_group_name_Hall 'F -4 2 3'
_cell_length_a 7.7486
_cell_length_b 7.7486
_cell_length_c 7.7486
_cell_angle_alpha 90.00
_cell_angle_beta 90.00
_cell_angle_gamma 90.00
loop_
_atom_site_label
_atom_site_type_symbol
_atom_site_fract_x
_atom_site_fract_y
_atom_site_fract_z
_atom_site_occupancy
K1 K 0.0000 0.0000 0.0000 1
Y1 Y 0.2500 0.2500 0.2500 1
Pt1 Pt 0.1249 0.1249 0.6249 1
```

=====

(7)
A relaxed structure of ZnSbTe2, computed with GGA-PBE.

## Properties
- Fermi-level density of states: 0.8 states/eV/cell
- Energy: -3.001 eV per atom
- Formation energy (no corrections): -0.08 eV per atom
- Total magnetization: 0.0 μB/cell

```
data_ZnSbTe2
_symmetry_space_group_name_H-M 'P 4/m m m'
_symmetry_Int_Tables_number 123
_symmetry_space_group_name_Hall '-P 4 2'
_cell_length_a 4.3432
_cell_length_b 4.3432
_cell_length_c 6.0220
_cell_angle_alpha 90.00
_cell_angle_beta 90.00
_cell_angle_gamma 90.00
loop_
_atom_site_label
_atom_site_type_symbol
_atom_site_fract_x
_atom_site_fract_y
_atom_site_fract_z
_atom_site_occupancy
Zn1 Zn 0.0000 0.0000 0.0000 1
Sb1 Sb 0.5000 0.5000 0.5000 1
Te1 Te 0.0000 0.0000 0.5000 1
Te2 Te 0.5000 0.5000 0.0000 1
```

=====

(8)
A relaxed structure of Li3NpS3, computed with GGA-PBE.

## Properties
- Fermi-level density of states: 60.6 states/eV/cell
- Energy: -5.756 eV per atom
- Formation energy (no corrections): -1.32 eV per atom
- Total magnetization: 24.0 μB/cell

```
data_Li3NpS3
_symmetry_space_group_name_H-M 'R -3'
_symmetry_Int_Tables_number 148
_symmetry_space_group_name_Hall '-R 3'
_cell_length_a 7.0273
_cell_length_b 7.0273
_cell_length_c 19.4393
_cell_angle_alpha 90.00
_cell_angle_beta 90.00
_cell_angle_gamma 120.00
loop_
_atom_site_label
_atom_site_type_symbol
_atom_site_fract_x
_atom_site_fract_y
_atom_site_fract_z
_atom_site_occupancy
Li1 Li 0.0092 0.3045 0.1214 1
Np1 Np 0.0000 0.0000 0.3336 1
S1 S 0.0039 0.3649 0.9163 1
```